## VTeNF2 (PBE with a Hubbard U)

Data for crystalline VTeNF2 at its relaxed geometry.

Output
For the uncorrected energy, the calculation gives -5.255 eV per atom. As for the calculated density: 5.55 g/cm3. As for the space-group type: P4/mmm.

a b c (Å): 4.020 4.020 4.268
angles (deg): 90.00 90.00 90.00
Fractional positions:
V 0.000 0.000 0.000
Te 0.500 0.500 0.500
N 0.000 0.000 0.500
F 0.000 0.500 0.000
F 0.500 0.000 0.000